Record 1
First-principles (PBE) data for crystalline Cd2HgW at its relaxed geometry, as listed in Alexandria.

Properties
Energy of formation, meV/atom: 467
Density of states at the Fermi level, states/eV/f.u.: 2.82

Cell: 10.442 10.442 10.442 Å, 16.55 16.55 16.55°
Fractional coordinates of all 4 atoms:
Hg 0.250 0.250 0.250
W 0.750 0.750 0.750
Cd 0.006 0.006 0.006
Cd 0.494 0.494 0.494

Record 2
First-principles (PBE) data for crystalline Cd2HgW at its relaxed geometry, as listed in Alexandria.

Properties
Energy of formation, meV/atom: 510
Density of states at the Fermi level, states/eV/f.u.: 0.83

Cell: 2.958 2.958 10.153 Å, 90.00 90.00 116.43°
Fractional coordinates of all 4 atoms:
Hg 0.000 0.000 0.510
W 0.500 0.500 0.751
Cd 0.000 0.000 0.990
Cd 0.500 0.500 0.250

Record 3
First-principles (PBE) data for crystalline Cd2HgW at its relaxed geometry, as listed in Alexandria.

Properties
Energy of formation, meV/atom: 628
Density of states at the Fermi level, states/eV/f.u.: 2.93

Cell: 2.933 4.464 6.063 Å, 90.00 90.00 90.00°
Fractional coordinates of all 4 atoms:
Hg 0.500 0.500 0.250
W 0.500 0.500 0.750
Cd 0.000 0.000 0.981
Cd 0.000 0.000 0.519

Record 4
First-principles (PBE) data for crystalline CdHgW at its relaxed geometry, as listed in Alexandria.

Properties
Energy of formation, meV/atom: 640
Energy relative to the lowest polymorph listed for this composition, eV per formula unit: 0.07
Density of states at the Fermi level, states/eV/f.u.: 1.61

Cell: 7.680 7.512 2.876 Å, 82.39 75.83 21.79°
Fractional coordinates of all 3 atoms:
Hg 0.329 0.329 0.671
W 0.666 0.666 0.334
Cd 0.006 0.006 0.994

Record 5
First-principles (PBE) data for crystalline Cd2HgW at its relaxed geometry, as listed in Alexandria.

Properties
Energy of formation, meV/atom: 644
Density of states at the Fermi level, states/eV/f.u.: 2.49

Cell: 4.297 4.234 4.234 Å, 90.00 90.00 90.00°
Fractional coordinates of all 4 atoms:
Hg 0.500 0.500 0.000
W 0.500 0.000 0.500
Cd 0.000 0.000 0.000
Cd 0.000 0.500 0.500

Record 6
First-principles (PBE) data for crystalline Cd2HgW at its relaxed geometry, as listed in Alexandria.

Properties
Energy of formation, meV/atom: 525
Density of states at the Fermi level, states/eV/f.u.: 0.96

Cell: 5.774 5.774 5.444 Å, 62.63 62.63 29.27°
Fractional coordinates of all 4 atoms:
Hg 0.506 0.506 0.398
W 0.251 0.251 0.352
Cd 0.993 0.993 0.914
Cd 0.750 0.750 0.836

Record 7
First-principles (PBE) data for crystalline Cd2HgW at its relaxed geometry, as listed in Alexandria.

Properties
Energy of formation, meV/atom: 807
Density of states at the Fermi level, states/eV/f.u.: 3.24

Cell: 5.461 5.461 5.461 Å, 135.51 135.51 64.74°
Fractional coordinates of all 4 atoms:
Hg 0.500 0.500 0.000
W 0.750 0.250 0.500
Cd 0.000 0.000 0.000
Cd 0.250 0.750 0.500

Record 8
First-principles (PBE) data for crystalline Cd2HgW at its relaxed geometry, as listed in Alexandria.

Properties
Energy of formation, meV/atom: 793
Density of states at the Fermi level, states/eV/f.u.: 3.14

Cell: 5.497 5.497 5.497 Å, 135.94 135.94 64.08°
Fractional coordinates of all 4 atoms:
Hg 0.250 0.750 0.500
W 0.750 0.250 0.500
Cd 0.000 0.000 0.000
Cd 0.500 0.500 0.000

Record 9
First-principles (PBE) data for crystalline Cd2HgW at its relaxed geometry, as listed in Alexandria.

Properties
Energy of formation, meV/atom: 571
Density of states at the Fermi level, states/eV/f.u.: 1.97

Cell: 5.834 5.834 2.866 Å, 77.98 77.98 118.74°
Fractional coordinates of all 4 atoms:
Hg 0.500 0.000 0.500
W 0.000 0.500 0.500
Cd 0.000 0.000 0.000
Cd 0.500 0.500 0.000

Record 10
First-principles (PBE) data for crystalline Cd2HgW at its relaxed geometry, as listed in Alexandria.

Properties
Energy of formation, meV/atom: 457
Density of states at the Fermi level, states/eV/f.u.: 1.69

Cell: 2.895 2.895 9.773 Å, 90.00 90.00 100.47°
Fractional coordinates of all 4 atoms:
Hg 0.500 0.500 0.250
W 0.500 0.500 0.750
Cd 0.000 0.000 0.979
Cd 0.000 0.000 0.521

Record 11
First-principles (PBE) data for crystalline Cd2HgW at its relaxed geometry, as listed in Alexandria.

Properties
Energy of formation, meV/atom: 860
Density of states at the Fermi level, states/eV/f.u.: 2.29

Cell: 4.845 4.845 4.845 Å, 60.00 60.00 60.00°
Fractional coordinates of all 4 atoms:
Hg 0.500 0.500 0.500
W 0.250 0.250 0.250
Cd 0.000 0.000 0.000
Cd 0.750 0.750 0.750

Record 12
First-principles (PBE) data for crystalline Cd2HgW at its relaxed geometry, as listed in Alexandria.

Properties
Energy of formation, meV/atom: 515
Density of states at the Fermi level, states/eV/f.u.: 1.58

Cell: 2.906 2.906 9.408 Å, 90.00 90.00 90.00°
Fractional coordinates of all 4 atoms:
Hg 0.000 0.000 0.516
W 0.500 0.500 0.752
Cd 0.000 0.000 0.984
Cd 0.500 0.500 0.248

Magnetization, respectively: 0.0 0.0 0.0 0.0 0.0 0.0 0.0 0.0 0.0 0.0 2.1 0.0 μB/f.u..